Material: CdPtRh2N
Method: DFT, GGA-PBE
State: relaxed

```
CdPtRh2N
1.0
4.104 0.000 0.000
0.000 4.104 0.000
0.000 0.000 4.285
Pt Cd N Rh
1 1 1 2
direct
0.000 0.000 0.500
0.500 0.500 0.500
0.000 0.000 0.000
0.500 0.000 0.000
0.000 0.500 0.000
```

Output
**Formation energy from raw total energies**: 139 meV/atom
**Size of the total moment**: 0.001 μB per atom
**Calculated volume**: 14.43 Å³ per atom
**Raw total energy**: -29.3 eV per cell
**Symmetry**: No. 123